A plane-wave DFT calculation with GGA-PBE was carried out for an optimized crystal structure of LiYThSn.

Values from the calculation:
DFT formation energy (meV/atom): -265
E_tot (eV/atom): -5.2151

Geometry as CIF:
```
data_LiYThSn
_chemical_formula_sum 'Li4 Y4 Th4 Sn4'
_space_group_name_H-M_alt 'F -4 3 m'
_space_group_IT_number 216
_space_group_name_Hall 'F -4 2 3'
_cell_length_a 7.5113
_cell_length_b 7.5113
_cell_length_c 7.5113
_cell_angle_alpha 90.00
_cell_angle_beta 90.00
_cell_angle_gamma 90.00
loop_
_atom_site_label
_atom_site_type_symbol
_atom_site_fract_x
_atom_site_fract_y
_atom_site_fract_z
Li1 Li 0.0000 0.0000 0.0000
Y1 Y 0.2500 0.2500 0.2500
Th1 Th 0.2500 0.2500 0.7500
Sn1 Sn 0.0000 0.0000 0.5000
```

A plane-wave DFT calculation with GGA-PBE was carried out for an optimized crystal structure of Mg2AlCr.

Values from the calculation:
DFT formation energy (meV/atom): 201
E_tot (eV/atom): -3.9377

Geometry as CIF:
```
data_Mg2AlCr
_chemical_formula_sum 'Mg4 Al2 Cr2'
_space_group_name_H-M_alt 'P -1'
_space_group_IT_number 2
_cell_length_a 4.9817
_cell_length_b 5.5021
_cell_length_c 5.6764
_cell_angle_alpha 82.71
_cell_angle_beta 65.53
_cell_angle_gamma 84.08
loop_
_space_group_symop_operation_xyz
'x,y,z'
'-x,-y,-z'
loop_
_atom_site_label
_atom_site_type_symbol
_atom_site_fract_x
_atom_site_fract_y
_atom_site_fract_z
Mg1 Mg 0.2118 0.0948 0.2011
Mg2 Mg 0.2740 0.6282 0.9075
Al1 Al 0.3002 0.1883 0.6411
Cr1 Cr 0.1984 0.6060 0.4331
```

A plane-wave DFT calculation with GGA-PBE was carried out for an optimized crystal structure of Li2TbPrTl4.

Values from the calculation:
DFT formation energy (meV/atom): -329
E_tot (eV/atom): -3.1671

Geometry as CIF:
```
data_Li2TbPrTl4
_chemical_formula_sum 'Li6 Tb3 Pr3 Tl12'
_space_group_name_H-M_alt 'R -3 m'
_space_group_IT_number 166
_space_group_name_Hall '-R 3 2"'
_cell_length_a 5.2553
_cell_length_b 5.2553
_cell_length_c 25.7426
_cell_angle_alpha 90.00
_cell_angle_beta 90.00
_cell_angle_gamma 120.00
loop_
_atom_site_label
_atom_site_type_symbol
_atom_site_fract_x
_atom_site_fract_y
_atom_site_fract_z
Li1 Li 0.0000 0.0000 0.2490
Tb1 Tb 0.0000 0.0000 0.5000
Pr1 Pr 0.0000 0.0000 0.0000
Tl1 Tl 0.0000 0.0000 0.1272
Tl2 Tl 0.0000 0.0000 0.3772
```

A plane-wave DFT calculation with GGA-PBE was carried out for an optimized crystal structure of HgRuW2.

Values from the calculation:
Polymorph energy (0 for the lowest one) (meV per atom): 152
DFT formation energy (meV/atom): 564
E_tot (eV/atom): -8.3067

Geometry as CIF:
```
data_HgRuW2
_chemical_formula_sum 'Hg2 Ru2 W4'
_space_group_name_H-M_alt 'I m m m'
_space_group_IT_number 71
_space_group_name_Hall '-I 2 2'
_cell_length_a 3.2034
_cell_length_b 4.4519
_cell_length_c 9.2738
_cell_angle_alpha 90.00
_cell_angle_beta 90.00
_cell_angle_gamma 90.00
loop_
_atom_site_label
_atom_site_type_symbol
_atom_site_fract_x
_atom_site_fract_y
_atom_site_fract_z
Hg1 Hg 0.0000 0.0000 0.0000
Ru1 Ru 0.0000 0.0000 0.5000
W1 W 0.0000 0.5000 0.2388
```

A plane-wave DFT calculation with GGA-PBE was carried out for an optimized crystal structure of Sc2Hg2Pd3.

Values from the calculation:
Polymorph energy (0 for the lowest one) (meV per atom): 0
DFT formation energy (meV/atom): -660
E_tot (eV/atom): -4.7807

Geometry as CIF:
```
data_Sc2Hg2Pd3
_chemical_formula_sum 'Sc4 Hg4 Pd6'
_space_group_name_H-M_alt 'C 1 2/m 1'
_space_group_IT_number 12
_cell_length_a 9.5405
_cell_length_b 3.9892
_cell_length_c 6.7452
_cell_angle_alpha 90.00
_cell_angle_beta 95.82
_cell_angle_gamma 90.00
loop_
_space_group_symop_operation_xyz
'x,y,z'
'-x,-y,-z'
'-x,y,-z'
'x,-y,z'
'x+1/2,y+1/2,z'
'-x+1/2,-y+1/2,-z'
'-x+1/2,y+1/2,-z'
'x+1/2,-y+1/2,z'
loop_
_atom_site_label
_atom_site_type_symbol
_atom_site_fract_x
_atom_site_fract_y
_atom_site_fract_z
Sc1 Sc 0.0817 0.0000 0.2588
Hg1 Hg 0.1382 0.5000 0.9196
Pd1 Pd 0.0000 0.5000 0.5000
Pd2 Pd 0.2122 0.0000 0.6393
```

A plane-wave DFT calculation with GGA-PBE was carried out for an optimized crystal structure of Ho19Tm4Th6.

Values from the calculation:
DFT formation energy (meV/atom): 419
E_tot (eV/atom): -4.7322

Geometry as CIF:
```
data_Ho19Tm4Th6
_chemical_formula_sum 'Ho38 Tm8 Th12'
_space_group_name_H-M_alt 'I 2 3'
_space_group_IT_number 197
_space_group_name_Hall 'I 2 2 3'
_cell_length_a 12.3735
_cell_length_b 12.3735
_cell_length_c 12.3735
_cell_angle_alpha 90.00
_cell_angle_beta 90.00
_cell_angle_gamma 90.00
loop_
_atom_site_label
_atom_site_type_symbol
_atom_site_fract_x
_atom_site_fract_y
_atom_site_fract_z
Ho1 Ho 0.0000 0.0000 0.0000
Ho2 Ho 0.0000 0.0000 0.2646
Ho3 Ho 0.0665 0.2568 0.2768
Tm1 Tm 0.1777 0.1777 0.8223
Th1 Th 0.0000 0.3697 0.5000
```

A plane-wave DFT calculation with GGA-PBE was carried out for an optimized crystal structure of ErTh5In4.

Values from the calculation:
DFT formation energy (meV/atom): -58
E_tot (eV/atom): -5.3201

Geometry as CIF:
```
data_ErTh5In4
_chemical_formula_sum 'Er2 Th10 In8'
_space_group_name_H-M_alt 'P m m n'
_space_group_IT_number 59
_cell_length_a 10.5098
_cell_length_b 12.1150
_cell_length_c 4.9348
_cell_angle_alpha 90.00
_cell_angle_beta 90.00
_cell_angle_gamma 90.00
loop_
_space_group_symop_operation_xyz
'x,y,z'
'-x,-y,-z'
'-x+1/2,-y+1/2,z'
'x+1/2,y+1/2,-z'
'x+1/2,-y,-z'
'-x+1/2,y,z'
'-x,y+1/2,-z'
'x,-y+1/2,z'
loop_
_atom_site_label
_atom_site_type_symbol
_atom_site_fract_x
_atom_site_fract_y
_atom_site_fract_z
Er1 Er 0.2500 0.2500 0.2485
Th1 Th 0.0685 0.0866 0.7490
Th2 Th 0.2500 0.7500 0.2519
In1 In 0.0472 0.7500 0.7515
In2 In 0.2500 0.0029 0.2490
```

A plane-wave DFT calculation with GGA-PBE was carried out for an optimized crystal structure of Ag4GeAu5.

Values from the calculation:
DFT formation energy (meV/atom): -10
E_tot (eV/atom): -3.2506

Geometry as CIF:
```
data_Ag4GeAu5
_chemical_formula_sum 'Ag4 Ge1 Au5'
_space_group_name_H-M_alt 'P 4/m m m'
_space_group_IT_number 123
_space_group_name_Hall '-P 4 2'
_cell_length_a 2.9299
_cell_length_b 2.9299
_cell_length_c 21.0169
_cell_angle_alpha 90.00
_cell_angle_beta 90.00
_cell_angle_gamma 90.00
loop_
_atom_site_label
_atom_site_type_symbol
_atom_site_fract_x
_atom_site_fract_y
_atom_site_fract_z
Ag1 Ag 0.0000 0.0000 0.0996
Ag2 Ag 0.0000 0.0000 0.2982
Ge1 Ge 0.0000 0.0000 0.5000
Au1 Au 0.5000 0.5000 0.0000
Au2 Au 0.5000 0.5000 0.1991
Au3 Au 0.5000 0.5000 0.3988
```

A plane-wave DFT calculation with GGA-PBE was carried out for an optimized crystal structure of GdMgTlNi.

Values from the calculation:
DFT formation energy (meV/atom): -163
E_tot (eV/atom): -6.1188

Geometry as CIF:
```
data_GdMgTlNi
_chemical_formula_sum 'Gd4 Mg4 Tl4 Ni4'
_space_group_name_H-M_alt 'F -4 3 m'
_space_group_IT_number 216
_space_group_name_Hall 'F -4 2 3'
_cell_length_a 7.0014
_cell_length_b 7.0014
_cell_length_c 7.0014
_cell_angle_alpha 90.00
_cell_angle_beta 90.00
_cell_angle_gamma 90.00
loop_
_atom_site_label
_atom_site_type_symbol
_atom_site_fract_x
_atom_site_fract_y
_atom_site_fract_z
Gd1 Gd 0.0000 0.0000 0.0000
Mg1 Mg 0.0000 0.0000 0.5000
Tl1 Tl 0.2500 0.2500 0.2500
Ni1 Ni 0.2500 0.2500 0.7500
```

A plane-wave DFT calculation with GGA-PBE was carried out for an optimized crystal structure of PaGePt2.

Values from the calculation:
DFT formation energy (meV/atom): -845
E_tot (eV/atom): -7.3937

Geometry as CIF:
```
data_PaGePt2
_chemical_formula_sum 'Pa4 Ge4 Pt8'
_space_group_name_H-M_alt 'P n m a'
_space_group_IT_number 62
_cell_length_a 8.4524
_cell_length_b 6.7645
_cell_length_c 5.3407
_cell_angle_alpha 90.00
_cell_angle_beta 90.00
_cell_angle_gamma 90.00
loop_
_space_group_symop_operation_xyz
'x,y,z'
'-x,-y,-z'
'-x+1/2,-y,z+1/2'
'x+1/2,y,-z+1/2'
'x+1/2,-y+1/2,-z+1/2'
'-x+1/2,y+1/2,z+1/2'
'-x,y+1/2,-z'
'x,-y+1/2,z'
loop_
_atom_site_label
_atom_site_type_symbol
_atom_site_fract_x
_atom_site_fract_y
_atom_site_fract_z
Pa1 Pa 0.0703 0.2500 0.1624
Ge1 Ge 0.1028 0.7500 0.3366
Pt1 Pt 0.1728 0.0364 0.6547
```

A plane-wave DFT calculation with GGA-PBE was carried out for an optimized crystal structure of ErPaNiRh.

Values from the calculation:
Polymorph energy (0 for the lowest one) (meV per atom): 136
DFT formation energy (meV/atom): -479
E_tot (eV/atom): -7.2771

Geometry as CIF:
```
data_ErPaNiRh
_chemical_formula_sum 'Er4 Pa4 Ni4 Rh4'
_space_group_name_H-M_alt 'F -4 3 m'
_space_group_IT_number 216
_space_group_name_Hall 'F -4 2 3'
_cell_length_a 6.8058
_cell_length_b 6.8058
_cell_length_c 6.8058
_cell_angle_alpha 90.00
_cell_angle_beta 90.00
_cell_angle_gamma 90.00
loop_
_atom_site_label
_atom_site_type_symbol
_atom_site_fract_x
_atom_site_fract_y
_atom_site_fract_z
Er1 Er 0.0000 0.0000 0.0000
Pa1 Pa 0.0000 0.0000 0.5000
Ni1 Ni 0.2500 0.2500 0.2500
Rh1 Rh 0.2500 0.2500 0.7500
```

A plane-wave DFT calculation with GGA-PBE was carried out for an optimized crystal structure of HoHfAl.

Values from the calculation:
Polymorph energy (0 for the lowest one) (meV per atom): 0
DFT formation energy (meV/atom): -184
E_tot (eV/atom): -6.2754

Geometry as CIF:
```
data_HoHfAl
_chemical_formula_sum 'Ho2 Hf2 Al2'
_space_group_name_H-M_alt 'I 4 m m'
_space_group_IT_number 107
_space_group_name_Hall 'I 4 -2'
_cell_length_a 3.2690
_cell_length_b 3.2690
_cell_length_c 12.8036
_cell_angle_alpha 90.00
_cell_angle_beta 90.00
_cell_angle_gamma 90.00
loop_
_atom_site_label
_atom_site_type_symbol
_atom_site_fract_x
_atom_site_fract_y
_atom_site_fract_z
Ho1 Ho 0.0000 0.0000 0.0000
Hf1 Hf 0.0000 0.0000 0.3150
Al1 Al 0.0000 0.0000 0.6689
```

Q: Among the records above, which one has the lowest DFT formation energy?
A: PaGePt2